[1]
The following is a DFT calculation (PBE) of a relaxed structure of PdC4.

Lattice parameters (Å, degrees): 3.992 3.992 3.992 90.00 90.00 90.00
Last column: magnetic moment on the atom in μB.
Sites, in units of the cell vectors:
C: 0.000 0.000 0.000  0.43
C: 0.500 0.000 0.500  -0.10
C: 0.000 0.500 0.500  -0.10
C: 0.500 0.500 0.000  -0.10
Pd: 0.500 0.500 0.500  0.00

Properties
Mass density (g/cm3): 4.0
Total DFT energy (no corrections) (Ry per atom): -0.3301
ΔE_f (eV/atom): 3.93
N(E_F) (states/eV/f.u.): 3.82
Space-group type: Pm-3m, No. 221



[2]
The following is a DFT calculation (PBE) of a relaxed structure of ThZn2Cu6.

Lattice parameters (Å, degrees): 7.751 7.751 7.751 60.00 60.00 60.00
Sites, in units of the cell vectors:
Th: 0.500 0.500 0.500
Th: 0.750 0.750 0.750
Zn: 0.125 0.125 0.125
Zn: 0.125 0.625 0.125
Zn: 0.125 0.125 0.625
Zn: 0.625 0.125 0.125
Cu: 0.249 0.249 0.751
Cu: 0.751 0.751 0.249
Cu: 0.249 0.751 0.249
Cu: 0.249 0.751 0.751
Cu: 0.499 0.499 0.001
Cu: 0.499 0.001 0.001
Cu: 0.751 0.249 0.751
Cu: 0.001 0.001 0.499
Cu: 0.499 0.001 0.499
Cu: 0.001 0.499 0.499
Cu: 0.751 0.249 0.249
Cu: 0.001 0.499 0.001

Properties
Mass density (g/cm3): 7.5
Total DFT energy (no corrections) (Ry per atom): -0.2552
ΔE_f (eV/atom): 0.37
N(E_F) (states/eV/f.u.): 6.15
Space-group type: Fd-3m, No. 227



[3]
The following is a DFT calculation (PBE) of a relaxed structure of PmSm4In2.

Lattice parameters (Å, degrees): 5.936 5.936 7.661 112.79 112.79 90.00
Sites, in units of the cell vectors:
Pm: 0.000 0.000 0.000
Sm: 0.750 0.250 0.500
Sm: 0.250 0.750 0.500
Sm: 0.500 0.000 0.000
Sm: 0.000 0.500 0.000
In: 0.624 0.624 0.248
In: 0.376 0.376 0.752

Properties
Mass density (g/cm3): 7.2
Polymorph energy (0 for the lowest one) (kJ/mol of formula units): 107
Total DFT energy (no corrections) (Ry per atom): -0.2979
ΔE_f (eV/atom): 0.10
N(E_F) (states/eV/f.u.): 10.49
Space-group type: I4/mmm, No. 139



[4]
The following is a DFT calculation (PBE) of a relaxed structure of Ti4In5Au2.

Lattice parameters (Å, degrees): 3.047 7.507 9.522 94.94 90.00 90.00
Sites, in units of the cell vectors:
Ti: 0.500 0.753 0.564
Ti: 0.500 0.186 0.875
Ti: 0.500 0.247 0.436
Ti: 0.500 0.814 0.125
In: 0.000 0.543 0.323
In: 0.000 0.164 0.145
In: 0.000 0.500 0.000
In: 0.000 0.836 0.855
In: 0.000 0.457 0.677
Au: 0.000 0.074 0.638
Au: 0.000 0.926 0.362

Properties
Mass density (g/cm3): 8.9
Total DFT energy (no corrections) (Ry per atom): -0.3608
ΔE_f (eV/atom): -0.20
N(E_F) (states/eV/f.u.): 9.44
Space-group type: P2/m, No. 10



[5]
The following is a DFT calculation (PBE) of a relaxed structure of CaTb2Ga2.

Lattice parameters (Å, degrees): 4.045 8.048 8.048 90.00 90.00 90.00
Sites, in units of the cell vectors:
Ca: 0.000 0.000 0.000
Ca: 0.000 0.500 0.500
Tb: 0.500 0.176 0.676
Tb: 0.500 0.676 0.824
Tb: 0.500 0.824 0.324
Tb: 0.500 0.324 0.176
Ga: 0.000 0.382 0.882
Ga: 0.000 0.882 0.618
Ga: 0.000 0.618 0.118
Ga: 0.000 0.118 0.382

Properties
Mass density (g/cm3): 6.3
Total DFT energy (no corrections) (Ry per atom): -0.2885
ΔE_f (eV/atom): -0.46
N(E_F) (states/eV/f.u.): 6.26
Space-group type: P4/mbm, No. 127



[6]
The following is a DFT calculation (PBE) of a relaxed structure of Tl3InN.

Lattice parameters (Å, degrees): 5.738 5.738 5.738 90.00 90.00 90.00
Sites, in units of the cell vectors:
Tl: 0.000 0.500 0.000
Tl: 0.000 0.000 0.500
Tl: 0.500 0.000 0.000
N: 0.500 0.500 0.500
In: 0.000 0.000 0.000

Properties
Mass density (g/cm3): 6.5
Polymorph energy (0 for the lowest one) (kJ/mol of formula units): 397
Total DFT energy (no corrections) (Ry per atom): -0.1599
N(E_F) (states/eV/f.u.): 6.34
Formation energy from raw total energies (eV/atom): 1.46
Space-group type: Pm-3m, No. 221



[7]
The following is a DFT calculation (PBE) of a relaxed structure of SiNi2TeP.

Lattice parameters (Å, degrees): 4.253 5.401 4.253 90.00 90.00 90.00
Sites, in units of the cell vectors:
Ni: 0.000 0.000 0.500
Ni: 0.500 0.000 0.000
Si: 0.000 0.000 0.000
Te: 0.000 0.500 0.000
P: 0.500 0.500 0.500

Properties
Mass density (g/cm3): 5.2
Total DFT energy (no corrections) (Ry per atom): -0.3160
N(E_F) (states/eV/f.u.): 5.79
Formation energy from raw total energies (eV/atom): 0.81
Space-group type: P4/mmm, No. 123



[8]
The following is a DFT calculation (PBE) of a relaxed structure of Ca3Cu8Rh.

Lattice parameters (Å, degrees): 5.119 5.119 8.991 73.46 73.46 60.00
Sites, in units of the cell vectors:
Ca: 0.377 0.377 0.868
Ca: 0.988 0.988 0.036
Ca: 0.508 0.508 0.476
Cu: 0.939 0.434 0.192
Cu: 0.443 0.940 0.677
Cu: 0.434 0.434 0.192
Cu: 0.940 0.940 0.677
Cu: 0.189 0.189 0.434
Cu: 0.689 0.689 0.934
Cu: 0.434 0.939 0.192
Cu: 0.940 0.443 0.677
Rh: 0.868 0.868 0.396

Properties
Mass density (g/cm3): 6.3
Total DFT energy (no corrections) (Ry per atom): -0.2900
ΔE_f (eV/atom): -0.10
N(E_F) (states/eV/f.u.): 5.00
Space-group type: R3m, No. 160